Record 1
{"formula": "NaHfGaSn2", "functional": "PBE", "state": "relaxed", "mass_density_g_cm3": 6.43, "formation_enthalpy_0k_kj_per_mol_fu": 428.8, "total_magnetization_mub_per_cell": 0.00, "cell": [[5.226, 0.000, 0.000], [0.000, 4.810, 0.000], [0.000, 0.000, 5.226]], "species": ["Na", "Ga", "Sn", "Sn", "Hf"], "fractional_positions": [[0.000, 0.000, 0.000], [0.000, 0.500, 0.000], [0.000, 0.000, 0.500], [0.500, 0.000, 0.000], [0.500, 0.500, 0.500]]}

---

Record 2
{"formula": "SrTb2Al", "functional": "PBE", "state": "relaxed", "mass_density_g_cm3": 5.51, "polymorph_energy_kj_per_mol_fu": 0.0, "formation_enthalpy_0k_kj_per_mol_fu": -34.5, "total_magnetization_mub_per_cell": 0.00, "cell": [[-2.468, 2.494, 1.139], [-0.711, -2.062, 2.975], [6.868, 4.594, 4.825]], "species": ["Tb", "Sr", "Al", "Tb"], "fractional_positions": [[0.000, 0.000, 0.181], [0.500, 0.500, 0.500], [0.500, 0.500, 0.000], [0.000, 0.000, 0.819]]}